# 1
Crystalline BaBe3Co at its relaxed geometry. Source: Alexandria, functional PBEsol.

As for the density: 4.56 g/cm3.

The space group is Pm-3m (No. 221) and the conventional cell measures 4.331, 4.331 and 4.331 Å, with angles of 90.00, 90.00 and 90.00 degrees. The asymmetric unit holds Ba at (0.000, 0.000, 0.000), Be at (0.000, 0.500, 0.500) and Co at (0.500, 0.500, 0.500).



# 2
Crystalline LiMnTe2 at its relaxed geometry. Source: Alexandria, functional PBEsol.

As for the density: 5.68 g/cm3. The uncorrected formation energy comes out at -267 meV per atom.

The space group is Pmm2 (No. 25) and the conventional cell measures 3.381, 4.161 and 6.592 Å, with angles of 90.00, 90.00 and 90.00 degrees. The asymmetric unit holds Li at (0.000, 0.000, 0.000), Mn at (0.500, 0.500, 0.298), Te at (0.000, 0.000, 0.426) and Te at (0.500, 0.500, 0.890).



# 3
Crystalline RbSn2Pt2 at its relaxed geometry. Source: Alexandria, functional PBEsol.

As for the density: 9.38 g/cm3.

The space group is I4/mmm (No. 139) and the conventional cell measures 4.680, 4.680 and 11.532 Å, with angles of 90.00, 90.00 and 90.00 degrees. The asymmetric unit holds Rb at (0.000, 0.000, 0.000), Sn at (0.000, 0.000, 0.357) and Pt at (0.000, 0.500, 0.250).



no.,total DFT energy (no corrections) (eV per atom)
1,-4.043
2,-4.962
3,-5.042